[1]
Material: Hf6ZnIn
Method: DFT, PBE
State: relaxed

The electronic total energy is -7.60 eV per atom. The magnetization is 0.0 μB/cell. As for the mass density: 11.52 g/cm³.

It has space group C2/m (No. 12), with a = 6.2386 Å, b = 11.0050 Å, c = 6.0010 Å, α = 90.00°, β = 118.87° and γ = 90.00°. The asymmetric unit holds Hf at (0.0023, 0.2270, 0.2452), Hf at (0.0210, 0.5000, 0.7614), Zn at (0.0000, 0.0000, 0.0000) and In at (0.0000, 0.0000, 0.5000).


[2]
Material: Hf6Zn5In
Method: DFT, PBE
State: relaxed

The electronic total energy is -5.89 eV per atom. The magnetization is 0.0 μB/cell. As for the mass density: 11.20 g/cm³.

It has space group Immm (No. 71), with a = 4.3687 Å, b = 7.8262 Å, c = 13.1251 Å, α = 90.00°, β = 90.00° and γ = 90.00°. The asymmetric unit holds Hf at (0.0000, 0.2343, 0.0000), Hf at (0.0000, 0.2577, 0.3314), Zn at (0.0000, 0.0000, 0.1728), Zn at (0.0000, 0.5000, 0.1642), Zn at (0.0000, 0.5000, 0.5000) and In at (0.0000, 0.0000, 0.5000).


[3]
Material: Hf2Zn3In
Method: DFT, PBE
State: relaxed

The electronic total energy is -4.41 eV per atom. The magnetization is 0.0 μB/cell. As for the mass density: 9.56 g/cm³.

It has space group Imm2 (No. 44), with a = 3.2572 Å, b = 4.3085 Å, c = 16.5394 Å, α = 90.00°, β = 90.00° and γ = 90.00°. The asymmetric unit holds Hf at (0.0000, 0.0000, 0.0000), Hf at (0.0000, 0.5000, 0.2265), Zn at (0.0000, 0.0000, 0.5749), Zn at (0.0000, 0.5000, 0.6452), Zn at (0.0000, 0.5000, 0.7895) and In at (0.0000, 0.0000, 0.4125).


[4]
Material: Hf3ZnIn2
Method: DFT, PBE
State: relaxed

The electronic total energy is -6.13 eV per atom. The magnetization is 0.0 μB/cell. As for the mass density: 10.74 g/cm³.

It has space group Cmcm (No. 63), with a = 9.3276 Å, b = 5.3666 Å, c = 10.2597 Å, α = 90.00°, β = 90.00° and γ = 90.00°. The asymmetric unit holds Hf at (0.0000, 0.0000, 0.0000), Hf at (0.1628, 0.5000, 0.0000), Zn at (0.0000, 0.3343, 0.2500) and In at (0.1669, 0.1645, 0.7500).


[5]
Material: Hf3ZnIn2
Method: DFT, PBE
State: relaxed

The electronic total energy is -6.26 eV per atom. The magnetization is 0.0 μB/cell. As for the mass density: 11.24 g/cm³.

It has space group P4/mmm (No. 123), with a = 3.0853 Å, b = 3.0853 Å, c = 12.8931 Å, α = 90.00°, β = 90.00° and γ = 90.00°. The asymmetric unit holds Hf at (0.0000, 0.0000, 0.0000), Hf at (0.0000, 0.0000, 0.3524), Zn at (0.5000, 0.5000, 0.5000) and In at (0.5000, 0.5000, 0.1748).


[6]
Material: Hf3Zn4In
Method: DFT, PBE
State: relaxed

The electronic total energy is -4.72 eV per atom. The magnetization is 0.0 μB/cell. As for the mass density: 9.86 g/cm³.

It has space group Immm (No. 71), with a = 2.9531 Å, b = 5.5139 Å, c = 18.8566 Å, α = 90.00°, β = 90.00° and γ = 90.00°. The asymmetric unit holds Hf at (0.0000, 0.0000, 0.0000), Hf at (0.0000, 0.5000, 0.2397), Zn at (0.0000, 0.2625, 0.3751) and In at (0.0000, 0.0000, 0.5000).


[7]
Material: Hf3Zn2In
Method: DFT, PBE
State: relaxed

The electronic total energy is -6.02 eV per atom. The magnetization is 0.0 μB/cell. As for the mass density: 11.20 g/cm³.

It has space group P4/mmm (No. 123), with a = 3.0436 Å, b = 3.0436 Å, c = 12.4983 Å, α = 90.00°, β = 90.00° and γ = 90.00°. The asymmetric unit holds Hf at (0.0000, 0.0000, 0.0000), Hf at (0.0000, 0.0000, 0.3105), Zn at (0.5000, 0.5000, 0.1571) and In at (0.5000, 0.5000, 0.5000).


[8]
Material: HfZnIn3
Method: DFT, PBE
State: relaxed

The electronic total energy is -3.13 eV per atom. The magnetization is 0.0 μB/cell. As for the mass density: 5.36 g/cm³.

It has space group Pm-3m (No. 221), with a = 5.6715 Å, b = 5.6715 Å, c = 5.6715 Å, α = 90.00°, β = 90.00° and γ = 90.00°. The asymmetric unit holds Hf at (0.0000, 0.0000, 0.0000), Zn at (0.5000, 0.5000, 0.5000) and In at (0.0000, 0.0000, 0.5000).


Which of these has the lowest mass density? HfZnIn3